(1)
Below is a geometry-optimized Pm2MnNi3As4 structure, with properties calculated at the PBE level.

The structure in CIF format:
```
data_Pm2MnNi3As4
_chemical_formula_sum 'Pm2 Mn1 Ni3 As4'
_cell_length_a 4.2046
_cell_length_b 4.2046
_cell_length_c 9.6827
_cell_angle_alpha 90.00
_cell_angle_beta 90.00
_cell_angle_gamma 90.00
_symmetry_space_group_name_H-M 'P 1'
_symmetry_Int_Tables_number 1
loop_
_symmetry_equiv_pos_as_xyz
'x,y,z'
loop_
_atom_site_label
_atom_site_fract_x
_atom_site_fract_y
_atom_site_fract_z
Pm1 0.5000 0.0000 0.2424
Pm2 0.0000 0.5000 0.7576
Mn1 0.5000 0.5000 0.5000
Ni1 0.0000 0.0000 0.5000
Ni2 0.5000 0.0000 0.8829
Ni3 0.0000 0.5000 0.1171
As1 0.5000 0.5000 0.0000
As2 0.0000 0.0000 0.0000
As3 0.5000 0.0000 0.6363
As4 0.0000 0.5000 0.3637
```

DOS at the Fermi energy ... 0.4863 states/eV per atom
Raw total energy ... -6.228 eV/atom
E_form ... -7.7 eV per formula unit
Magnetization ... 3.371 Bohr magnetons per cell
Mass density ... 7.96 g cm⁻³
Space group ... P-4m2


(2)
Below is a geometry-optimized NpSi2As2Pt7 structure, with properties calculated at the PBE level.

The structure in CIF format:
```
data_NpSi2As2Pt7
_chemical_formula_sum 'Np1 Si2 As2 Pt7'
_cell_length_a 3.9368
_cell_length_b 3.9368
_cell_length_c 14.5848
_cell_angle_alpha 85.28
_cell_angle_beta 85.28
_cell_angle_gamma 89.14
_symmetry_space_group_name_H-M 'P 1'
_symmetry_Int_Tables_number 1
loop_
_symmetry_equiv_pos_as_xyz
'x,y,z'
loop_
_atom_site_label
_atom_site_fract_x
_atom_site_fract_y
_atom_site_fract_z
Np1 0.0000 0.0000 0.0000
Si1 0.5784 0.5784 0.7451
Si2 0.4216 0.4216 0.2549
As1 0.8485 0.8485 0.4247
As2 0.1515 0.1515 0.5753
Pt1 0.5000 0.5000 0.0000
Pt2 0.3945 0.3945 0.4154
Pt3 0.6055 0.6055 0.5846
Pt4 0.9508 0.4509 0.1581
Pt5 0.4509 0.9508 0.1581
Pt6 0.5491 0.0492 0.8419
Pt7 0.0492 0.5491 0.8419
```

DOS at the Fermi energy ... 0.8435 states/eV per atom
Raw total energy ... -6.737 eV/atom
Energy relative to the elements, uncorrected ... -528 kJ/mol of formula units
Magnetization ... 3.291 Bohr magnetons per cell
Mass density ... 13.38 g cm⁻³
Space group ... C2/m


(3)
Below is a geometry-optimized MnTcRh2 structure, with properties calculated at the PBE level.

The structure in CIF format:
```
data_MnTcRh2
_chemical_formula_sum 'Mn1 Tc1 Rh2'
_cell_length_a 4.2806
_cell_length_b 4.2806
_cell_length_c 4.2806
_cell_angle_alpha 60.00
_cell_angle_beta 60.00
_cell_angle_gamma 60.00
_symmetry_space_group_name_H-M 'P 1'
_symmetry_Int_Tables_number 1
loop_
_symmetry_equiv_pos_as_xyz
'x,y,z'
loop_
_atom_site_label
_atom_site_fract_x
_atom_site_fract_y
_atom_site_fract_z
Mn1 0.0000 0.0000 0.0000
Rh1 0.2500 0.2500 0.2500
Rh2 0.7500 0.7500 0.7500
Tc1 0.5000 0.5000 0.5000
```

DOS at the Fermi energy ... 2.4799 states/eV per atom
Raw total energy ... -8.116 eV/atom
E_form ... 1.8 eV per formula unit
Magnetization ... 0.000 Bohr magnetons per cell
Mass density ... 10.74 g cm⁻³
Excess energy over the best structure of this formula in the dataset ... 544 meV per atom
Space group ... Fm-3m


(4)
Below is a geometry-optimized Hf4MnS8 structure, with properties calculated at the PBE level.

The structure in CIF format:
```
data_Hf4MnS8
_chemical_formula_sum 'Hf4 Mn1 S8'
_cell_length_a 7.1925
_cell_length_b 7.1925
_cell_length_c 7.3738
_cell_angle_alpha 60.81
_cell_angle_beta 60.81
_cell_angle_gamma 60.00
_symmetry_space_group_name_H-M 'P 1'
_symmetry_Int_Tables_number 1
loop_
_symmetry_equiv_pos_as_xyz
'x,y,z'
loop_
_atom_site_label
_atom_site_fract_x
_atom_site_fract_y
_atom_site_fract_z
Hf1 0.0000 0.5000 0.0000
Hf2 0.5000 0.5000 0.0000
Hf3 0.5000 0.0000 0.0000
Hf4 0.0000 0.0000 0.0000
Mn1 0.5000 0.5000 0.5000
S1 0.7499 0.2494 0.7512
S2 0.7506 0.2501 0.2488
S3 0.2501 0.7506 0.2488
S4 0.7506 0.7506 0.2488
S5 0.7466 0.7466 0.7603
S6 0.2534 0.2534 0.2397
S7 0.2494 0.2494 0.7512
S8 0.2494 0.7499 0.7512
```

DOS at the Fermi energy ... 0.2940 states/eV per atom
Raw total energy ... -7.721 eV/atom
Energy relative to the elements, uncorrected ... -1772 kJ/mol of formula units
Magnetization ... 4.192 Bohr magnetons per cell
Mass density ... 6.24 g cm⁻³
Space group ... R-3m


(5)
Below is a geometry-optimized EuMgScAg structure, with properties calculated at the PBE level.

The structure in CIF format:
```
data_EuMgScAg
_chemical_formula_sum 'Eu1 Mg1 Sc1 Ag1'
_cell_length_a 5.2290
_cell_length_b 5.2290
_cell_length_c 5.2290
_cell_angle_alpha 60.00
_cell_angle_beta 60.00
_cell_angle_gamma 60.00
_symmetry_space_group_name_H-M 'P 1'
_symmetry_Int_Tables_number 1
loop_
_symmetry_equiv_pos_as_xyz
'x,y,z'
loop_
_atom_site_label
_atom_site_fract_x
_atom_site_fract_y
_atom_site_fract_z
Eu1 0.2500 0.2500 0.2500
Sc1 0.7500 0.7500 0.7500
Mg1 0.5000 0.5000 0.5000
Ag1 0.0000 0.0000 0.0000
```

DOS at the Fermi energy ... 1.0683 states/eV per atom
Raw total energy ... -5.321 eV/atom
E_form ... -0.2 eV per formula unit
Magnetization ... 7.194 Bohr magnetons per cell
Mass density ... 5.41 g cm⁻³
Space group ... F-43m


(6)
Below is a geometry-optimized Ba2HgPd9 structure, with properties calculated at the PBE level.

The structure in CIF format:
```
data_Ba2HgPd9
_chemical_formula_sum 'Ba2 Hg1 Pd9'
_cell_length_a 5.5136
_cell_length_b 5.5136
_cell_length_c 9.7439
_cell_angle_alpha 73.57
_cell_angle_beta 73.57
_cell_angle_gamma 60.00
_symmetry_space_group_name_H-M 'P 1'
_symmetry_Int_Tables_number 1
loop_
_symmetry_equiv_pos_as_xyz
'x,y,z'
loop_
_atom_site_label
_atom_site_fract_x
_atom_site_fract_y
_atom_site_fract_z
Ba1 0.8632 0.8632 0.4104
Ba2 0.1368 0.1368 0.5896
Hg1 0.0000 0.0000 0.0000
Pd1 0.6674 0.6674 0.9977
Pd2 0.3326 0.3326 0.0023
Pd3 0.5000 0.5000 0.5000
Pd4 0.4191 0.4191 0.2426
Pd5 0.9191 0.4191 0.2426
Pd6 0.4191 0.9191 0.2426
Pd7 0.5809 0.5809 0.7574
Pd8 0.5809 0.0809 0.7574
Pd9 0.0809 0.5809 0.7574
```

DOS at the Fermi energy ... 1.2404 states/eV per atom
Raw total energy ... -4.455 eV/atom
E_form ... -2.6 eV per formula unit
Magnetization ... 0.000 Bohr magnetons per cell
Mass density ... 9.81 g cm⁻³
Space group ... R-3m


> The lowest mass density belongs to which entry?

EuMgScAg


> Which value of magnetization does entry 3 give?

0.000 Bohr magnetons per cell


> What is the magnetization in the sixth record?

0.000 Bohr magnetons per cell